The following is a PBE calculation of a relaxed Mg2Sc2Sb crystal, from the Alexandria database.

Structure (POSCAR):
```
Mg2Sc2Sb
1.0
7.426 0.000 0.000
0.000 7.426 0.000
0.000 0.000 4.691
Mg Sc Sb
4 4 2
Cartesian
1.096 2.617 0.000 Mg
2.617 6.331 0.000 Mg
4.809 1.096 0.000 Mg
6.331 4.809 0.000 Mg
1.134 4.848 2.346 Sc
2.579 1.134 2.346 Sc
4.848 6.292 2.346 Sc
6.292 2.579 2.346 Sc
0.000 0.000 2.346 Sb
3.713 3.713 2.346 Sb
```

Properties
Formation energy without anion corrections (eV per atom): -0.158
Energy above the most stable polymorph in this dataset (meV/atom): 0
Space group: P4/mbm
Volume (Å³/f.u.): 129.4